Compound: HgRu2Cl
Source: Alexandria via LeMat-Bulk
Functional: SCAN
Structure: single point on PBEsol structure

Cell: 2.8475 4.7063 9.5795 Å, 90.00 90.00 90.00°
Last column: nearest neighbours and their distance in Å.
Space group Imm2 (No. 44)
Symmetry-distinct sites (fractional):
Hg  0.0000  0.0000  0.0000 x2  6 Ru 2.75-3.04, 2 Hg 2.85, 2 Cl 3.04
Ru  0.0000  0.0000  0.4979 x2  2 Cl 2.52, 2 Ru 2.55, 4 Hg 2.75
Ru  0.0000  0.5000  0.2191 x2  4 Ru 2.55-2.85, 4 Cl 2.81
Cl  0.0000  0.5000  0.7807 x2  6 Ru 2.52-2.81

## Properties
**Theoretical density**: 11.34 g/cm3
**Energy above the lowest structure with this stoichiometry**: 550.6 meV per atom

Compound: LaAl2Os
Source: Alexandria via LeMat-Bulk
Functional: SCAN
Structure: single point on PBEsol structure

Cell: 3.2298 4.8734 9.4235 Å, 90.00 90.00 90.00°
Last column: nearest neighbours and their distance in Å.
Space group Cmmm (No. 65)
Symmetry-distinct sites (fractional):
La  0.0000  0.0000  0.0000 x2  6 La 2.92-3.23, 4 Al 3.24
Al  0.0000  0.5000  0.2976 x4  2 Os 2.50
Os  0.0000  0.0000  0.5000 x2  4 Al 2.50

## Properties
**Theoretical density**: 8.58 g/cm3
**Calculated formation energy**: 0.82 kcal/mol of atoms

Compound: Li4Fe3Sn2Sb3O16
Source: Alexandria via LeMat-Bulk
Functional: SCAN
Structure: single point on PBEsol structure

Cell: 10.7459 6.1654 9.7889 Å, 90.00 90.49 90.00°
Last column: nearest neighbours and their distance in Å.
Space group Cm (No. 8)
Symmetry-distinct sites (fractional):
Li  0.0000  0.0000  0.0000 x2  4 O 1.83-2.03
Li  0.0110  0.0000  0.5166 x2  3 O 1.79-1.99
Li  0.1612  0.5000  0.0959 x2  4 O 1.96-2.11
Li  0.3275  0.0000  0.6123 x2  4 O 2.00-2.10
Fe  0.0710  0.2576  0.7872 x4  6 O 2.05-2.16
Fe  0.1589  0.0000  0.2858 x2  6 O 2.02-2.12
Sn  0.1500  0.5000  0.5165 x2  6 O 2.07-2.18
Sn  0.3139  0.0000  0.0007 x2  6 O 2.02-2.25
Sb  0.3177  0.5000  0.7870 x2  6 O 1.98-2.09
Sb  0.4048  0.2468  0.2859 x4  6 O 2.06-2.13
O  0.0088  0.5000  0.6593 x2  1 Li 2.00, 2 Fe 2.06, 1 Sn 2.07
O  0.0737  0.2408  0.4006 x4  1 Li 1.99, 1 Fe 2.08, 1 Sn 2.12, 1 Sb 2.13
O  0.1502  0.0000  0.8987 x2  1 Li 1.90, 1 Sn 2.02, 2 Fe 2.10
O  0.1621  0.5000  0.8962 x2  1 Li 1.96, 1 Sb 1.99, 2 Fe 2.08
O  0.2343  0.2789  0.6606 x4  1 Sb 2.04, 1 Li 2.05, 1 Sn 2.16, 1 Fe 2.16
O  0.2524  0.2232  0.1581 x4  1 Sb 2.06, 1 Li 2.06, 1 Fe 2.12, 1 Sn 2.17
O  0.3223  0.0000  0.3975 x2  1 Fe 2.06, 2 Sb 2.08, 1 Li 2.10
O  0.3251  0.5000  0.4049 x2  2 Sb 2.13, 1 Sn 2.18, 1 Li 2.27
O  0.4047  0.2593  0.9032 x4  1 Li 2.03, 1 Sb 2.09, 1 Sn 2.11, 1 Fe 2.13
O  0.4722  0.0000  0.1534 x2  1 Li 2.11, 2 Sb 2.13, 1 Sn 2.25
O  0.4823  0.5000  0.6968 x2  1 Li 1.79, 1 Sb 1.98
O  0.4938  0.5000  0.1865 x2  1 Li 1.83, 1 Fe 2.02

## Properties
**Theoretical density**: 5.40 g/cm3
**Energy**: -786.79 eV for the cell shown

- Among the records above, which one has the lowest theoretical density?
  Li4Fe3Sn2Sb3O16

- Which value of theoretical density does entry 2 give?
  8.58 g/cm3

- What is the formula in the first record?
  HgRu2Cl

- What is the theoretical density in the second record?
  8.58 g/cm3